# 1
Material: CaPmTl2
Method: DFT, PBE-GGA
State: optimized geometry

```
4
Lattice="-2.663 1.547 -2.283 -1.945 -2.215 -2.451 -8.433 -1.851 5.366" Properties=species:S:1:pos:R:3 pbc="T T T"
Tl -9.786 -1.890 0.479
Tl -3.255 -0.628 0.153
Ca 0.000 0.000 0.000
Pm -6.521 -1.259 0.316
```

* volume: 126.3 Å³ per cell
* Fermi-level density of states: 4.07 states/eV/cell
* ΔE_f: -0.265 eV/atom
* size of the total moment: 0.0 μB per formula unit

# 2
Material: CaPm5Tl6
Method: DFT, PBE-GGA
State: optimized geometry

```
12
Lattice="-5.322 0.764 -0.968 -6.031 -6.712 -3.021 -4.720 -5.340 6.301" Properties=species:S:1:pos:R:3 pbc="T T T"
Ca 0.000 0.000 0.000
Pm -6.825 -4.310 3.266
Pm -3.589 -4.024 1.118
Pm -5.676 -2.974 -1.994
Pm -7.162 -8.028 2.162
Pm -9.249 -6.978 -0.954
Tl -6.067 -1.768 1.112
Tl -6.418 -5.498 0.088
Tl -2.840 -1.494 -0.999
Tl -8.513 -4.454 -2.989
Tl -9.655 -5.790 2.224
Tl -10.006 -9.520 1.200
```

* volume: 350.4 Å³ per cell
* Fermi-level density of states: 9.67 states/eV/cell
* ΔE_f: -0.390 eV/atom
* size of the total moment: 0.0 μB per formula unit

# 3
Material: Ca2PmTl
Method: DFT, PBE-GGA
State: optimized geometry

```
4
Lattice="3.760 0.000 0.000 1.880 3.256 0.000 1.880 1.085 11.303" Properties=species:S:1:pos:R:3 pbc="T T T"
Ca 1.880 1.085 8.792
Ca 1.880 1.085 2.525
Pm 3.760 2.171 5.628
Tl 3.760 2.171 0.010
```

* volume: 138.4 Å³ per cell
* Fermi-level density of states: 5.07 states/eV/cell
* ΔE_f: -0.093 eV/atom
* size of the total moment: 0.5 μB per formula unit

# 4
Material: CaPm2YTl4
Method: DFT, PBE-GGA
State: optimized geometry

```
8
Lattice="-3.549 3.786 -1.677 -5.019 0.164 2.126 0.034 6.860 6.547" Properties=species:S:1:pos:R:3 pbc="T T T"
Ca 0.000 0.000 0.000
Pm -6.371 8.163 5.312
Pm -2.163 2.646 1.684
Y -4.267 5.404 3.498
Tl -3.204 7.443 5.851
Tl -7.467 6.060 2.885
Tl -1.066 4.749 4.111
Tl -5.330 3.366 1.145
```

* volume: 230.4 Å³ per cell
* Fermi-level density of states: 5.30 states/eV/cell
* ΔE_f: -0.390 eV/atom
* size of the total moment: 0.0 μB per formula unit

# 5
Material: CaPmTlZn
Method: DFT, PBE-GGA
State: optimized geometry

```
4
Lattice="5.351 0.000 0.000 2.675 4.634 0.000 2.675 1.545 4.369" Properties=species:S:1:pos:R:3 pbc="T T T"
Tl 5.351 3.089 2.184
Ca 2.675 1.545 1.092
Zn 0.000 0.000 0.000
Pm 8.026 4.634 3.277
```

* volume: 108.3 Å³ per cell
* Fermi-level density of states: 1.82 states/eV/cell
* ΔE_f: -0.359 eV/atom
* size of the total moment: 0.0 μB per formula unit

# 6
Material: CaPmTm
Method: DFT, PBE-GGA
State: optimized geometry

```
3
Lattice="-1.894 0.354 -3.104 -2.981 -1.290 1.672 0.442 7.731 2.762" Properties=species:S:1:pos:R:3 pbc="T T T"
Ca -0.008 0.029 0.008
Tm -3.136 2.075 0.001
Pm -1.289 4.690 1.322
```

* volume: 104.2 Å³ per cell
* Fermi-level density of states: 4.52 states/eV/cell
* ΔE_f: 0.061 eV/atom
* size of the total moment: 0.0 μB per formula unit

# 7
Material: Ca2PmTm
Method: DFT, PBE-GGA
State: optimized geometry

```
4
Lattice="4.205 0.000 0.000 0.000 5.823 0.000 0.000 0.000 5.823" Properties=species:S:1:pos:R:3 pbc="T T T"
Ca 0.000 0.000 2.911
Ca 0.000 2.911 0.000
Tm 2.102 0.000 0.000
Pm 2.102 2.911 2.911
```

* volume: 142.6 Å³ per cell
* Fermi-level density of states: 6.05 states/eV/cell
* ΔE_f: 0.177 eV/atom
* size of the total moment: 0.0 μB per formula unit

# 8
Material: CaPm6Tm6
Method: DFT, PBE-GGA
State: optimized geometry

```
13
Lattice="-3.667 -1.967 -5.326 6.616 1.190 -0.706 2.220 -10.863 2.484" Properties=species:S:1:pos:R:3 pbc="T T T"
Ca 0.000 0.000 0.000
Pm 1.453 -7.110 1.626
Pm 0.767 -3.753 0.858
Pm 3.188 0.138 -2.246
Pm -0.239 -0.915 -3.786
Pm 4.298 -5.294 -1.004
Pm 0.870 -6.346 -2.544
Tm 4.976 -7.570 1.514
Tm -0.165 -9.149 -0.795
Tm 3.143 -8.554 -1.149
Tm -1.282 -3.681 -2.046
Tm 3.859 -2.102 0.264
Tm 2.026 -3.086 -2.399
```

* volume: 449.5 Å³ per cell
* Fermi-level density of states: 28.06 states/eV/cell
* ΔE_f: 0.252 eV/atom
* size of the total moment: 0.3 μB per formula unit

# 9
Material: CaPm8Tm4
Method: DFT, PBE-GGA
State: optimized geometry

```
13
Lattice="5.006 0.000 1.046 2.907 5.355 -1.412 -0.829 -1.196 16.463" Properties=species:S:1:pos:R:3 pbc="T T T"
Ca 0.000 0.000 0.000
Pm 4.286 3.799 4.489
Pm 2.798 0.360 11.608
Pm 5.018 3.621 0.989
Pm 2.067 0.538 15.108
Pm 5.679 2.126 10.323
Pm 1.405 2.033 5.774
Pm 4.257 0.163 4.631
Pm 2.828 3.996 11.467
Tm 3.557 3.861 7.979
Tm 3.528 0.298 8.118
Tm 4.951 2.196 13.808
Tm 2.134 1.962 2.289
```

* volume: 433.9 Å³ per cell
* Fermi-level density of states: 18.75 states/eV/cell
* ΔE_f: 0.043 eV/atom
* size of the total moment: 0.0 μB per formula unit

# 10
Material: CaPm12Tm5
Method: DFT, PBE-GGA
State: optimized geometry

```
18
Lattice="-10.135 -3.010 -4.126 -7.766 -3.705 6.172 -1.983 5.544 0.831" Properties=species:S:1:pos:R:3 pbc="T T T"
Ca 0.000 0.000 0.000
Pm -9.458 0.255 -3.031
Pm -2.661 2.279 -0.263
Pm -8.590 3.581 -1.858
Pm -3.529 -1.046 -1.436
Pm -10.510 2.077 3.575
Pm -5.202 -2.474 4.098
Pm -14.682 1.302 -1.221
Pm -9.374 -3.249 -0.697
Pm -8.580 0.059 0.408
Pm -14.565 -2.194 1.144
Pm -5.319 1.022 1.734
Pm -11.303 -1.231 2.470
Tm -6.059 1.267 -1.647
Tm -7.844 -0.189 3.801
Tm -12.040 -0.983 -0.923
Tm -13.901 1.079 2.146
Tm -7.966 3.292 1.563
```

* volume: 603.3 Å³ per cell
* Fermi-level density of states: 34.96 states/eV/cell
* ΔE_f: 0.113 eV/atom
* size of the total moment: 0.0 μB per formula unit

# 11
Material: Ca2PmTm
Method: DFT, PBE-GGA
State: optimized geometry

```
4
Lattice="-3.431 -1.453 -1.789 -1.460 -1.112 3.703 -3.606 7.494 0.828" Properties=species:S:1:pos:R:3 pbc="T T T"
Ca -2.730 5.673 0.627
Ca -0.876 1.821 0.201
Tm -2.446 -1.282 0.957
Pm -4.248 2.465 1.371
```

* volume: 142.8 Å³ per cell
* Fermi-level density of states: 6.12 states/eV/cell
* ΔE_f: 0.177 eV/atom
* size of the total moment: 0.0 μB per formula unit

# 12
Material: CaPm2Tm
Method: DFT, PBE-GGA
State: optimized geometry

```
4
Lattice="-2.856 1.560 -1.642 -0.158 -2.774 -2.359 -6.464 -5.084 6.411" Properties=species:S:1:pos:R:3 pbc="T T T"
Ca -4.739 -3.149 1.205
Tm -1.507 -0.607 -2.001
Pm -4.963 -3.903 4.922
Pm -1.501 -1.181 1.489
```

* volume: 138.5 Å³ per cell
* Fermi-level density of states: 5.82 states/eV/cell
* ΔE_f: 0.051 eV/atom
* size of the total moment: 0.0 μB per formula unit

# 13
Material: Ca2PmTm
Method: DFT, PBE-GGA
State: optimized geometry

```
4
Lattice="3.579 0.000 0.000 1.790 3.100 0.000 1.790 1.033 13.095" Properties=species:S:1:pos:R:3 pbc="T T T"
Ca 1.790 1.033 9.698
Ca 5.369 3.100 3.397
Tm 0.000 0.000 0.000
Pm 3.579 2.066 6.547
```

* volume: 145.3 Å³ per cell
* Fermi-level density of states: 6.18 states/eV/cell
* ΔE_f: 0.255 eV/atom
* size of the total moment: 0.6 μB per formula unit

# 14
Material: CaPm3Tm
Method: DFT, PBE-GGA
State: optimized geometry

```
10
Lattice="6.400 0.000 0.000 0.000 6.466 1.775 0.000 0.833 9.627" Properties=species:S:1:pos:R:3 pbc="T T T"
Ca 4.800 1.713 6.422
Ca 1.600 5.585 4.981
Pm 4.800 4.131 3.671
Pm 4.800 1.039 2.822
Pm 1.600 6.259 8.580
Pm 1.600 3.168 7.732
Pm 0.000 0.000 0.000
Pm 3.200 0.000 0.000
Tm 4.800 4.286 9.714
Tm 1.600 3.013 1.688
```

* volume: 388.9 Å³ per cell
* Fermi-level density of states: 14.11 states/eV/cell
* ΔE_f: 0.328 eV/atom
* size of the total moment: 0.0 μB per formula unit

# 15
Material: CaPmTm
Method: DFT, PBE-GGA
State: optimized geometry

```
3
Lattice="-0.145 -3.630 0.065 3.038 1.678 -1.075 3.019 0.032 8.585" Properties=species:S:1:pos:R:3 pbc="T T T"
Ca 0.016 0.000 0.044
Tm 1.959 -1.849 2.651
Pm 3.938 -0.070 4.880
```

* volume: 104.0 Å³ per cell
* Fermi-level density of states: 4.19 states/eV/cell
* ΔE_f: 0.067 eV/atom
* size of the total moment: 0.0 μB per formula unit

# 16
Material: CaPm6Tm3
Method: DFT, PBE-GGA
State: optimized geometry

```
20
Lattice="3.562 0.000 0.000 0.000 11.793 -2.717 0.000 -0.301 16.221" Properties=species:S:1:pos:R:3 pbc="T T T"
Ca 0.891 4.061 14.195
Ca 2.672 7.431 -0.691
Pm 0.891 4.408 7.728
Pm 2.672 7.084 5.777
Pm 0.891 10.371 -2.060
Pm 2.672 1.121 15.565
Pm 0.891 9.708 7.671
Pm 2.672 1.785 5.834
Pm 0.891 7.657 2.675
Pm 2.672 3.835 10.829
Pm 0.891 7.018 12.125
Pm 2.672 4.474 1.379
Pm 0.891 1.560 2.560
Pm 2.672 9.932 10.945
Tm 0.891 1.194 8.931
Tm 2.672 10.298 4.573
Tm 0.891 4.463 4.318
Tm 2.672 7.029 9.186
Tm 0.891 0.992 12.392
Tm 2.672 10.500 1.112
```

* volume: 678.6 Å³ per cell
* Fermi-level density of states: 31.00 states/eV/cell
* ΔE_f: 0.077 eV/atom
* size of the total moment: 0.0 μB per formula unit

# 17
Material: CaPm5Tm3
Method: DFT, PBE-GGA
State: optimized geometry

```
18
Lattice="-1.890 -9.566 -2.091 7.528 5.420 -7.820 1.562 -1.762 6.652" Properties=species:S:1:pos:R:3 pbc="T T T"
Ca -0.051 -7.511 3.636
Ca -0.277 -3.818 0.925
Pm 0.596 -4.234 4.353
Pm 5.026 -4.181 -0.420
Pm 2.432 1.456 -2.057
Pm 2.174 -1.728 -2.838
Pm 4.528 -3.747 -3.929
Pm -0.924 -7.095 0.209
Pm 5.438 2.736 -2.427
Pm 1.763 -8.644 -0.831
Pm 2.673 -2.162 0.671
Pm 4.768 -7.365 -1.201
Tm 0.000 0.000 0.000
Tm 1.816 -5.166 -1.797
Tm 0.781 -0.881 3.326
Tm 5.384 -0.742 -1.461
Tm 2.598 -6.044 1.530
Tm 4.602 0.135 -4.788
```

* volume: 599.3 Å³ per cell
* Fermi-level density of states: 27.25 states/eV/cell
* ΔE_f: 0.078 eV/atom
* size of the total moment: 0.0 μB per formula unit

# 18
Material: Ca2PmTm
Method: DFT, PBE-GGA
State: optimized geometry

```
4
Lattice="-0.610 2.330 2.794 -2.500 -4.721 3.383 3.618 -8.340 2.862" Properties=species:S:1:pos:R:3 pbc="T T T"
Ca 2.314 -5.412 2.522
Ca 0.753 -6.621 5.621
Pm -1.161 -4.384 3.348
Tm -0.216 -0.859 3.055
```

* volume: 142.2 Å³ per cell
* Fermi-level density of states: 6.63 states/eV/cell
* ΔE_f: 0.122 eV/atom
* size of the total moment: 0.0 μB per formula unit

# 19
Material: CaPm12Tm6
Method: DFT, PBE-GGA
State: optimized geometry

```
19
Lattice="9.268 -1.069 -3.118 -3.999 8.429 -3.118 -0.765 -1.069 9.749" Properties=species:S:1:pos:R:3 pbc="T T T"
Ca 0.000 0.000 0.000
Pm 7.270 -0.447 1.756
Pm -1.309 7.218 -1.021
Pm 0.778 1.087 7.285
Pm -2.750 5.204 4.533
Pm 3.726 5.204 -3.772
Pm 5.813 -0.927 4.533
Pm 1.029 6.738 -3.110
Pm -1.543 3.146 6.623
Pm -2.766 6.738 1.756
Pm 3.475 -0.447 6.623
Pm 6.047 3.146 -3.110
Pm 7.255 1.087 -1.021
Tm 4.320 2.199 3.369
Tm 3.435 4.798 -0.152
Tm 0.689 4.798 3.369
Tm 1.069 1.493 3.665
Tm 0.184 4.093 0.144
Tm 3.815 1.493 0.144
```

* volume: 653.1 Å³ per cell
* Fermi-level density of states: 25.10 states/eV/cell
* ΔE_f: 0.330 eV/atom
* size of the total moment: 0.0 μB per formula unit

# 20
Material: CaPm2Tm
Method: DFT, PBE-GGA
State: optimized geometry

```
4
Lattice="3.630 0.000 0.000 1.815 3.144 0.000 1.815 1.048 12.115" Properties=species:S:1:pos:R:3 pbc="T T T"
Ca 3.630 2.096 6.058
Pm 5.445 3.144 9.283
Pm 1.815 1.048 2.832
Tm 0.000 0.000 0.000
```

* volume: 138.3 Å³ per cell
* Fermi-level density of states: 5.07 states/eV/cell
* ΔE_f: 0.042 eV/atom
* size of the total moment: 0.0 μB per formula unit